# 1
10
Lattice="6.093 -1.510 -1.067 1.934 4.972 0.331 1.934 1.974 4.575" Properties=species:S:1:pos:R:3 comment="GGA-PBE Ti6Ga3H, relaxed" dft_energy_ev_per_atom=-6.24 pbc="T T T"
Ti 3.677 1.436 2.585
Ti 6.284 2.520 3.350
Ti 6.284 4.000 1.255
Ti 3.677 2.916 0.490
Ti 3.032 4.336 3.063
Ti 6.929 1.100 0.777
Ga 2.276 0.702 0.496
Ga 7.685 4.734 3.344
Ga 0.000 0.000 0.000
H 4.980 2.718 1.920


# 2
5
Lattice="4.924 0.000 0.000 0.000 4.924 0.000 2.462 2.462 3.938" Properties=species:S:1:pos:R:3 comment="GGA-PBE La2H2Pt, relaxed" dft_energy_ev_per_atom=-5.01 pbc="T T T"
H 2.462 2.462 1.417
H 4.924 4.924 2.520
Pt 0.000 0.000 0.000
La 4.924 2.462 1.969
La 2.462 4.924 1.969


# 3
5
Lattice="-1.738 -0.037 -4.744 2.221 -4.470 -0.779 -2.992 -1.680 1.109" Properties=species:S:1:pos:R:3 comment="GGA-PBE RhCSe2N, relaxed" e_form_raw_mev_per_atom=1755 pbc="T T T"
C -1.254 -3.093 -2.207
Rh 0.000 0.000 0.000
Se 1.110 -2.235 -0.390
Se -0.869 -0.018 -2.372
N -1.496 -0.840 0.554


Ρ / g cm⁻³: 5.39; 8.26; 5.18
Total magnetization / μB/f.u.: 0.0; 0.0; 0.1